--- i ---
Density functional theory data (GGA-PBE) for Pt2WCl after structural relaxation.

Structure (CIF):
```
data_Pt2WCl
_chemical_formula_sum 'Pt2 W1 Cl1'
_space_group_name_H-M_alt 'P 1'
_space_group_IT_number 1
_cell_length_a 2.878
_cell_length_b 2.878
_cell_length_c 8.657
_cell_angle_alpha 90.00
_cell_angle_beta 90.00
_cell_angle_gamma 90.00
loop_
_space_group_symop_operation_xyz
'x,y,z'
loop_
_atom_site_label
_atom_site_type_symbol
_atom_site_fract_x
_atom_site_fract_y
_atom_site_fract_z
W1 W 0.000 0.000 0.486
Pt1 Pt 0.000 0.000 0.052
Pt2 Pt 0.500 0.500 0.285
Cl1 Cl 0.500 0.500 0.677
```

Symmetry = P4mm
Crystal system = tetragonal

--- ii ---
Density functional theory data (GGA-PBE) for Pt2WCl after structural relaxation.

Structure (CIF):
```
data_Pt2WCl
_chemical_formula_sum 'Pt2 W1 Cl1'
_space_group_name_H-M_alt 'P 1'
_space_group_IT_number 1
_cell_length_a 4.547
_cell_length_b 4.547
_cell_length_c 4.547
_cell_angle_alpha 60.00
_cell_angle_beta 60.00
_cell_angle_gamma 60.00
loop_
_space_group_symop_operation_xyz
'x,y,z'
loop_
_atom_site_label
_atom_site_type_symbol
_atom_site_fract_x
_atom_site_fract_y
_atom_site_fract_z
Pt1 Pt 0.250 0.250 0.250
Pt2 Pt 0.750 0.750 0.750
Cl1 Cl 0.000 0.000 0.000
W1 W 0.500 0.500 0.500
```

Symmetry = Fm-3m
Crystal system = cubic

Of them, i has the highest stability.

--- i ---
Density functional theory data (GGA-PBE) for Pt2WCl after structural relaxation.

Structure (CIF):
```
data_Pt2WCl
_chemical_formula_sum 'Pt2 W1 Cl1'
_space_group_name_H-M_alt 'P 1'
_space_group_IT_number 1
_cell_length_a 4.527
_cell_length_b 3.813
_cell_length_c 3.813
_cell_angle_alpha 90.00
_cell_angle_beta 90.00
_cell_angle_gamma 90.00
loop_
_space_group_symop_operation_xyz
'x,y,z'
loop_
_atom_site_label
_atom_site_type_symbol
_atom_site_fract_x
_atom_site_fract_y
_atom_site_fract_z
Cl1 Cl 0.500 0.000 0.500
Pt1 Pt 0.000 0.500 0.500
Pt2 Pt 0.000 0.000 0.000
W1 W 0.500 0.500 0.000
```

Symmetry = P4/mmm
Crystal system = tetragonal

--- ii ---
Density functional theory data (GGA-PBE) for Pt2WCl after structural relaxation.

Structure (CIF):
```
data_Pt2WCl
_chemical_formula_sum 'Pt2 W1 Cl1'
_space_group_name_H-M_alt 'P 1'
_space_group_IT_number 1
_cell_length_a 2.819
_cell_length_b 4.608
_cell_length_c 4.990
_cell_angle_alpha 90.00
_cell_angle_beta 90.00
_cell_angle_gamma 90.00
loop_
_space_group_symop_operation_xyz
'x,y,z'
loop_
_atom_site_label
_atom_site_type_symbol
_atom_site_fract_x
_atom_site_fract_y
_atom_site_fract_z
Pt1 Pt 0.000 0.000 0.000
Pt2 Pt 0.500 0.500 0.000
Cl1 Cl 0.000 0.500 0.500
W1 W 0.500 0.000 0.500
```

Symmetry = Pmmm
Crystal system = orthorhombic

Of them, ii has the highest stability.

--- i ---
Density functional theory data (GGA-PBE) for Pt2WCl after structural relaxation.

Structure (CIF):
```
data_Pt2WCl
_chemical_formula_sum 'Pt2 W1 Cl1'
_space_group_name_H-M_alt 'P 1'
_space_group_IT_number 1
_cell_length_a 2.922
_cell_length_b 2.898
_cell_length_c 8.068
_cell_angle_alpha 89.82
_cell_angle_beta 90.00
_cell_angle_gamma 90.00
loop_
_space_group_symop_operation_xyz
'x,y,z'
loop_
_atom_site_label
_atom_site_type_symbol
_atom_site_fract_x
_atom_site_fract_y
_atom_site_fract_z
W1 W 0.500 0.250 0.250
Pt1 Pt 0.000 0.748 0.472
Pt2 Pt 0.000 0.752 0.028
Cl1 Cl 0.500 0.750 0.750
```

Symmetry = P2/m
Crystal system = monoclinic

--- ii ---
Density functional theory data (GGA-PBE) for Pt2WCl after structural relaxation.

Structure (CIF):
```
data_Pt2WCl
_chemical_formula_sum 'Pt2 W1 Cl1'
_space_group_name_H-M_alt 'P 1'
_space_group_IT_number 1
_cell_length_a 9.320
_cell_length_b 9.320
_cell_length_c 9.320
_cell_angle_alpha 17.76
_cell_angle_beta 17.76
_cell_angle_gamma 17.76
loop_
_space_group_symop_operation_xyz
'x,y,z'
loop_
_atom_site_label
_atom_site_type_symbol
_atom_site_fract_x
_atom_site_fract_y
_atom_site_fract_z
Pt1 Pt 0.996 0.996 0.996
Pt2 Pt 0.504 0.504 0.504
W1 W 0.250 0.250 0.250
Cl1 Cl 0.750 0.750 0.750
```

Symmetry = R-3m
Crystal system = trigonal

--- iii ---
Density functional theory data (GGA-PBE) for Pt2WCl after structural relaxation.

Structure (CIF):
```
data_Pt2WCl
_chemical_formula_sum 'Pt2 W1 Cl1'
_space_group_name_H-M_alt 'P 1'
_space_group_IT_number 1
_cell_length_a 2.865
_cell_length_b 2.865
_cell_length_c 9.992
_cell_angle_alpha 90.00
_cell_angle_beta 90.00
_cell_angle_gamma 120.75
loop_
_space_group_symop_operation_xyz
'x,y,z'
loop_
_atom_site_label
_atom_site_type_symbol
_atom_site_fract_x
_atom_site_fract_y
_atom_site_fract_z
Pt1 Pt 0.000 0.000 0.028
Pt2 Pt 0.500 0.500 0.272
Cl1 Cl 0.500 0.500 0.701
W1 W 0.000 0.000 0.498
```

Symmetry = Cmm2
Crystal system = orthorhombic

--- iv ---
Density functional theory data (GGA-PBE) for Pt2WCl after structural relaxation.

Structure (CIF):
```
data_Pt2WCl
_chemical_formula_sum 'Pt2 W1 Cl1'
_space_group_name_H-M_alt 'P 1'
_space_group_IT_number 1
_cell_length_a 3.514
_cell_length_b 2.962
_cell_length_c 7.418
_cell_angle_alpha 89.67
_cell_angle_beta 90.00
_cell_angle_gamma 90.00
loop_
_space_group_symop_operation_xyz
'x,y,z'
loop_
_atom_site_label
_atom_site_type_symbol
_atom_site_fract_x
_atom_site_fract_y
_atom_site_fract_z
Cl1 Cl 0.500 0.745 0.693
Pt1 Pt 0.000 0.754 0.078
Pt2 Pt 0.500 0.251 0.278
W1 W 0.000 0.749 0.452
```

Symmetry = Pm
Crystal system = monoclinic

Of them, i has the highest stability.

--- i ---
Density functional theory data (GGA-PBE) for Pt2WCl after structural relaxation.

Structure (CIF):
```
data_Pt2WCl
_chemical_formula_sum 'Pt2 W1 Cl1'
_space_group_name_H-M_alt 'P 1'
_space_group_IT_number 1
_cell_length_a 4.703
_cell_length_b 4.703
_cell_length_c 6.729
_cell_angle_alpha 84.00
_cell_angle_beta 84.00
_cell_angle_gamma 35.32
loop_
_space_group_symop_operation_xyz
'x,y,z'
loop_
_atom_site_label
_atom_site_type_symbol
_atom_site_fract_x
_atom_site_fract_y
_atom_site_fract_z
W1 W 0.537 0.537 0.583
Pt1 Pt 0.063 0.063 0.912
Pt2 Pt 0.801 0.801 0.715
Cl1 Cl 0.099 0.099 0.291
```

Symmetry = Cm
Crystal system = monoclinic

--- ii ---
Density functional theory data (GGA-PBE) for Pt2WCl after structural relaxation.

Structure (CIF):
```
data_Pt2WCl
_chemical_formula_sum 'Pt2 W1 Cl1'
_space_group_name_H-M_alt 'P 1'
_space_group_IT_number 1
_cell_length_a 4.886
_cell_length_b 4.886
_cell_length_c 4.886
_cell_angle_alpha 131.03
_cell_angle_beta 131.03
_cell_angle_gamma 71.77
loop_
_space_group_symop_operation_xyz
'x,y,z'
loop_
_atom_site_label
_atom_site_type_symbol
_atom_site_fract_x
_atom_site_fract_y
_atom_site_fract_z
W1 W 0.250 0.750 0.500
Cl1 Cl 0.750 0.250 0.500
Pt1 Pt 0.000 0.000 0.000
Pt2 Pt 0.500 0.500 0.000
```

Symmetry = I4/mmm
Crystal system = tetragonal

Of them, i has the highest stability.

--- i ---
Density functional theory data (GGA-PBE) for Pt2WCl after structural relaxation.

Structure (CIF):
```
data_Pt2WCl
_chemical_formula_sum 'Pt2 W1 Cl1'
_space_group_name_H-M_alt 'P 1'
_space_group_IT_number 1
_cell_length_a 5.105
_cell_length_b 5.105
_cell_length_c 2.797
_cell_angle_alpha 89.91
_cell_angle_beta 89.91
_cell_angle_gamma 117.22
loop_
_space_group_symop_operation_xyz
'x,y,z'
loop_
_atom_site_label
_atom_site_type_symbol
_atom_site_fract_x
_atom_site_fract_y
_atom_site_fract_z
Cl1 Cl 0.000 0.500 0.500
Pt1 Pt 0.000 0.000 0.000
Pt2 Pt 0.500 0.500 0.000
W1 W 0.500 0.000 0.500
```

Symmetry = C2/m
Crystal system = monoclinic

--- ii ---
Density functional theory data (GGA-PBE) for Pt2WCl after structural relaxation.

Structure (CIF):
```
data_Pt2WCl
_chemical_formula_sum 'Pt2 W1 Cl1'
_space_group_name_H-M_alt 'P 1'
_space_group_IT_number 1
_cell_length_a 6.208
_cell_length_b 6.208
_cell_length_c 4.480
_cell_angle_alpha 68.90
_cell_angle_beta 68.90
_cell_angle_gamma 25.87
loop_
_space_group_symop_operation_xyz
'x,y,z'
loop_
_atom_site_label
_atom_site_type_symbol
_atom_site_fract_x
_atom_site_fract_y
_atom_site_fract_z
W1 W 0.750 0.750 0.750
Pt1 Pt 0.454 0.454 0.546
Pt2 Pt 0.046 0.046 0.954
Cl1 Cl 0.250 0.250 0.250
```

Symmetry = Immm
Crystal system = orthorhombic

Of them, ii has the highest stability.

--- i ---
Density functional theory data (GGA-PBE) for Pt2WCl after structural relaxation.

Structure (CIF):
```
data_Pt2WCl
_chemical_formula_sum 'Pt2 W1 Cl1'
_space_group_name_H-M_alt 'P 1'
_space_group_IT_number 1
_cell_length_a 2.930
_cell_length_b 2.930
_cell_length_c 7.836
_cell_angle_alpha 90.00
_cell_angle_beta 90.00
_cell_angle_gamma 90.00
loop_
_space_group_symop_operation_xyz
'x,y,z'
loop_
_atom_site_label
_atom_site_type_symbol
_atom_site_fract_x
_atom_site_fract_y
_atom_site_fract_z
Cl1 Cl 0.500 0.500 0.750
Pt1 Pt 0.000 0.000 0.025
Pt2 Pt 0.000 0.000 0.475
W1 W 0.500 0.500 0.250
```

Symmetry = P4/mmm
Crystal system = tetragonal

--- ii ---
Density functional theory data (GGA-PBE) for Pt2WCl after structural relaxation.

Structure (CIF):
```
data_Pt2WCl
_chemical_formula_sum 'Pt2 W1 Cl1'
_space_group_name_H-M_alt 'P 1'
_space_group_IT_number 1
_cell_length_a 4.481
_cell_length_b 4.481
_cell_length_c 4.481
_cell_angle_alpha 60.00
_cell_angle_beta 60.00
_cell_angle_gamma 60.00
loop_
_space_group_symop_operation_xyz
'x,y,z'
loop_
_atom_site_label
_atom_site_type_symbol
_atom_site_fract_x
_atom_site_fract_y
_atom_site_fract_z
W1 W 0.750 0.750 0.750
Cl1 Cl 0.500 0.500 0.500
Pt1 Pt 0.250 0.250 0.250
Pt2 Pt 0.000 0.000 0.000
```

Symmetry = F-43m
Crystal system = cubic

--- iii ---
Density functional theory data (GGA-PBE) for Pt2WCl after structural relaxation.

Structure (CIF):
```
data_Pt2WCl
_chemical_formula_sum 'Pt2 W1 Cl1'
_space_group_name_H-M_alt 'P 1'
_space_group_IT_number 1
_cell_length_a 6.323
_cell_length_b 6.323
_cell_length_c 6.323
_cell_angle_alpha 154.52
_cell_angle_beta 137.38
_cell_angle_gamma 50.31
loop_
_space_group_symop_operation_xyz
'x,y,z'
loop_
_atom_site_label
_atom_site_type_symbol
_atom_site_fract_x
_atom_site_fract_y
_atom_site_fract_z
Cl1 Cl 0.672 0.172 0.500
Pt1 Pt 0.296 0.796 0.500
Pt2 Pt 0.049 0.049 0.000
W1 W 0.482 0.482 0.000
```

Symmetry = Imm2
Crystal system = orthorhombic

Of them, i has the highest stability.

--- i ---
Density functional theory data (GGA-PBE) for Pt2WCl after structural relaxation.

Structure (CIF):
```
data_Pt2WCl
_chemical_formula_sum 'Pt2 W1 Cl1'
_space_group_name_H-M_alt 'P 1'
_space_group_IT_number 1
_cell_length_a 9.671
_cell_length_b 9.671
_cell_length_c 9.671
_cell_angle_alpha 17.12
_cell_angle_beta 17.12
_cell_angle_gamma 17.12
loop_
_space_group_symop_operation_xyz
'x,y,z'
loop_
_atom_site_label
_atom_site_type_symbol
_atom_site_fract_x
_atom_site_fract_y
_atom_site_fract_z
Pt1 Pt 0.242 0.242 0.242
Pt2 Pt 0.990 0.990 0.990
Cl1 Cl 0.768 0.768 0.768
W1 W 0.500 0.500 0.500
```

Symmetry = R3m
Crystal system = trigonal

--- ii ---
Density functional theory data (GGA-PBE) for Pt2WCl after structural relaxation.

Structure (CIF):
```
data_Pt2WCl
_chemical_formula_sum 'Pt4 W2 Cl2'
_space_group_name_H-M_alt 'P 1'
_space_group_IT_number 1
_cell_length_a 6.472
_cell_length_b 6.472
_cell_length_c 6.258
_cell_angle_alpha 58.86
_cell_angle_beta 58.86
_cell_angle_gamma 90.00
loop_
_space_group_symop_operation_xyz
'x,y,z'
loop_
_atom_site_label
_atom_site_type_symbol
_atom_site_fract_x
_atom_site_fract_y
_atom_site_fract_z
Pt1 Pt 0.648 0.125 0.250
Pt2 Pt 0.375 0.352 0.750
Pt3 Pt 0.102 0.625 0.250
Pt4 Pt 0.875 0.898 0.750
Cl1 Cl 0.500 0.500 0.000
Cl2 Cl 0.250 0.750 0.500
W1 W 0.750 0.250 0.500
W2 W 0.000 0.000 0.000
```

Symmetry = I-42d
Crystal system = tetragonal

Of them, i has the highest stability.

--- i ---
Density functional theory data (GGA-PBE) for PtWCl3 after structural relaxation.

Structure (CIF):
```
data_PtWCl3
_chemical_formula_sum 'Pt1 W1 Cl3'
_space_group_name_H-M_alt 'P 1'
_space_group_IT_number 1
_cell_length_a 4.888
_cell_length_b 4.888
_cell_length_c 4.888
_cell_angle_alpha 90.00
_cell_angle_beta 90.00
_cell_angle_gamma 90.00
loop_
_space_group_symop_operation_xyz
'x,y,z'
loop_
_atom_site_label
_atom_site_type_symbol
_atom_site_fract_x
_atom_site_fract_y
_atom_site_fract_z
Pt1 Pt 0.000 0.000 0.000
Cl1 Cl 0.000 0.500 0.000
Cl2 Cl 0.500 0.000 0.000
Cl3 Cl 0.000 0.000 0.500
W1 W 0.500 0.500 0.500
```

Symmetry = Pm-3m
Crystal system = cubic

--- ii ---
Density functional theory data (GGA-PBE) for PtWCl3 after structural relaxation.

Structure (CIF):
```
data_PtWCl3
_chemical_formula_sum 'Pt1 W1 Cl3'
_space_group_name_H-M_alt 'P 1'
_space_group_IT_number 1
_cell_length_a 4.736
_cell_length_b 4.736
_cell_length_c 4.736
_cell_angle_alpha 90.00
_cell_angle_beta 90.00
_cell_angle_gamma 90.00
loop_
_space_group_symop_operation_xyz
'x,y,z'
loop_
_atom_site_label
_atom_site_type_symbol
_atom_site_fract_x
_atom_site_fract_y
_atom_site_fract_z
Cl1 Cl 0.000 0.000 0.500
Cl2 Cl 0.000 0.500 0.000
Cl3 Cl 0.500 0.000 0.000
W1 W 0.000 0.000 0.000
Pt1 Pt 0.500 0.500 0.500
```

Symmetry = Pm-3m
Crystal system = cubic

Of them, ii has the highest stability.